An optimized crystal structure of Er2AgS. Source: the Alexandria database, functional PBE.

Structure (CIF):
```
data_Er2AgS
_chemical_formula_sum 'Er4 Ag2 S2'
_cell_length_a 4.023
_cell_length_b 3.936
_cell_length_c 11.543
_cell_angle_alpha 99.82
_cell_angle_beta 90.00
_cell_angle_gamma 90.00
_symmetry_space_group_name_H-M 'P 1'
_symmetry_Int_Tables_number 1
_symmetry_space_group_name_Hall 'P 1'
loop_
_atom_site_label
_atom_site_fract_x
_atom_site_fract_y
_atom_site_fract_z
Ag1 0.250 0.456 0.913
Ag2 0.750 0.544 0.087
S1 0.250 0.194 0.389
S2 0.750 0.806 0.611
Er1 0.750 0.687 0.375
Er2 0.250 0.313 0.625
Er3 0.250 0.075 0.150
Er4 0.750 0.925 0.850
```

Total DFT energy (no corrections) (eV per atom): -5.15
V (Å³ per atom): 22.511
Excess energy over the best structure of this formula in the dataset (meV per atom): 0
E_form (uncorrected) (meV per atom): -1120
D(E_F) (states/eV per cell): 3.9